1.
Computed, not measured: a PBEsol-optimized structure of MnZnW at the meta-GGA SCAN level of DFT.

Results
- V: 39.82 Å³ per cell
- ΔE_f: 0.4 eV/f.u.
- Offset from the most stable computed form: 0.0000 eV per atom

a = 2.6151 Å, b = 4.1932 Å, c = 4.1932 Å
α = 120.00°, β = 90.00°, γ = 90.00°
With the nearest neighbours (Å) after each atom.
Atoms (fractional coordinates):
Zn (0.2837, 0.3333, 0.6667)  3 Mn 2.53, 2 Zn 2.62, 3 W 2.67
Mn (0.9990, 0.0000, 0.0000)  3 W 2.53, 3 Zn 2.53, 2 Mn 2.62
W (0.7173, 0.6667, 0.3333)  3 Mn 2.53, 2 W 2.62, 3 Zn 2.67

***

2.
Computed, not measured: a PBEsol-optimized structure of AsPtCSe2 at the meta-GGA SCAN level of DFT.

Results
- Formation energy from raw total energies: 8.991 eV per formula unit
- V: 116.63 Å³ per cell

a = 4.6190 Å, b = 5.0248 Å, c = 5.0248 Å
α = 90.00°, β = 90.00°, γ = 90.00°
With the nearest neighbours (Å) after each atom.
Atoms (fractional coordinates):
Pt (0.0000, 0.0000, 0.0000)  2 As 2.31, 4 Se 2.51
Se (0.0000, 0.0000, 0.5000)  2 Pt 2.51
Se (0.0000, 0.5000, 0.0000)  2 Pt 2.51
C (0.5000, 0.5000, 0.5000)  8 Se 3.41, 4 As 3.55
As (0.5000, 0.0000, 0.0000)  2 Pt 2.31

***

3.
Computed, not measured: a PBEsol-optimized structure of ZrTlCl2 at the meta-GGA SCAN level of DFT.

Results
- Formation energy from raw total energies: -3.638 eV per formula unit
- V: 89.84 Å³ per cell
- Offset from the most stable computed form: 0.1648 eV per atom

a = 3.3919 Å, b = 3.3919 Å, c = 9.2265 Å
α = 79.41°, β = 79.41°, γ = 60.00°
With the nearest neighbours (Å) after each atom.
Atoms (fractional coordinates):
Cl (0.9839, 0.9839, 0.0484)  3 Zr 2.58
Zr (0.2551, 0.2551, 0.2348)  3 Cl 2.58
Tl (0.5002, 0.5002, 0.4995)  3 Cl 2.77, 3 Zr 3.09
Cl (0.7609, 0.7609, 0.7173)  3 Tl 2.77

***

4.
Computed, not measured: a PBEsol-optimized structure of LaTaSb at the meta-GGA SCAN level of DFT.

Results
- Formation energy from raw total energies: 2.776 eV per formula unit
- V: 93.14 Å³ per cell

a = 5.0881 Å, b = 5.0881 Å, c = 5.0881 Å
α = 60.00°, β = 60.00°, γ = 60.00°
With the nearest neighbours (Å) after each atom.
Atoms (fractional coordinates):
Ta (0.5000, 0.5000, 0.5000)  4 La 3.12
La (0.2500, 0.2500, 0.2500)  4 Ta 3.12, 4 Sb 3.12
Sb (0.0000, 0.0000, 0.0000)  4 La 3.12

***

5.
Computed, not measured: a PBEsol-optimized structure of Ca2AsPt at the meta-GGA SCAN level of DFT.

Results
- V: 84.90 Å³ per cell
- ΔE_f: -3.9 eV/f.u.

a = 3.2914 Å, b = 5.0772 Å, c = 5.0803 Å
α = 90.00°, β = 90.00°, γ = 90.00°
With the nearest neighbours (Å) after each atom.
Atoms (fractional coordinates):
As (0.5000, 0.5000, 0.1332)  8 Ca 3.02-3.04, 2 As 3.29
Pt (0.5000, 0.0000, 0.6163)  8 Ca 3.01-3.04, 2 Pt 3.29
Ca (0.0000, 0.5000, 0.6306)  4 As 3.02-3.04, 4 Pt 3.03, 2 Ca 3.29
Ca (0.0000, 0.0000, 0.1198)  4 Pt 3.01-3.04, 4 As 3.03, 2 Ca 3.29

***

6.
Computed, not measured: a PBEsol-optimized structure of SrLi2Tl2 at the meta-GGA SCAN level of DFT.

Results
- V: 241.13 Å³ per cell
- ΔE_f: -1.8 eV/f.u.
- Offset from the most stable computed form: 0.0399 eV per atom

a = 3.4258 Å, b = 8.3897 Å, c = 8.3897 Å
α = 90.00°, β = 90.00°, γ = 90.00°
With the nearest neighbours (Å) after each atom.
Atoms (fractional coordinates):
Li (0.0000, 0.3815, 0.8815)  1 Li 2.81, 6 Tl 3.00-3.03
Tl (0.5000, 0.1739, 0.6739)  6 Li 3.00-3.03
Tl (0.5000, 0.6739, 0.8261)  6 Li 3.00-3.03
Sr (0.0000, 0.0000, 0.0000)  4 Li 3.35, 2 Sr 3.43, 8 Tl 3.54
Li (0.0000, 0.8815, 0.6185)  1 Li 2.81, 6 Tl 3.00-3.03
Li (0.0000, 0.6185, 0.1185)  1 Li 2.81, 6 Tl 3.00-3.03
Tl (0.5000, 0.8261, 0.3261)  6 Li 3.00-3.03
Tl (0.5000, 0.3261, 0.1739)  6 Li 3.00-3.03
Li (0.0000, 0.1185, 0.3815)  1 Li 2.81, 6 Tl 3.00-3.03
Sr (0.0000, 0.5000, 0.5000)  4 Li 3.35, 2 Sr 3.43, 8 Tl 3.54

***

7.
Computed, not measured: a PBEsol-optimized structure of AgPW2 at the meta-GGA SCAN level of DFT.

Results
- V: 58.23 Å³ per cell
- ΔE_f: 3.1 eV/f.u.
- Offset from the most stable computed form: 0.4075 eV per atom

a = 4.4114 Å, b = 4.3223 Å, c = 4.4114 Å
α = 59.32°, β = 90.00°, γ = 120.68°
With the nearest neighbours (Å) after each atom.
Atoms (fractional coordinates):
P (0.0000, 0.0000, 0.0000)  8 W 2.67
W (0.7500, 0.5000, 0.7500)  4 Ag 2.67, 4 P 2.67
Ag (0.5000, 0.0000, 0.5000)  8 W 2.67
W (0.2500, 0.5000, 0.2500)  4 Ag 2.67, 4 P 2.67

***

8.
Computed, not measured: a PBEsol-optimized structure of MoPt2W at the meta-GGA SCAN level of DFT.

Results
- V: 59.83 Å³ per cell
- ΔE_f: -1.2 eV/f.u.
- Offset from the most stable computed form: 0.0750 eV per atom

a = 3.8234 Å, b = 3.8234 Å, c = 4.0926 Å
α = 90.00°, β = 90.00°, γ = 90.00°
With the nearest neighbours (Å) after each atom.
Atoms (fractional coordinates):
Pt (0.0000, 0.5000, 0.0000)  4 Pt 2.70, 4 W 2.80, 4 Mo 2.80
Mo (0.0000, 0.0000, 0.5000)  4 W 2.70, 8 Pt 2.80
W (0.5000, 0.5000, 0.5000)  4 Mo 2.70, 8 Pt 2.80
Pt (0.5000, 0.0000, 0.0000)  4 Pt 2.70, 4 W 2.80, 4 Mo 2.80

***

9.
Computed, not measured: a PBEsol-optimized structure of AlVNi2 at the meta-GGA SCAN level of DFT.

Results
- V: 46.40 Å³ per cell
- ΔE_f: -1.8 eV/f.u.

a = 2.6494 Å, b = 2.6494 Å, c = 6.6112 Å
α = 90.00°, β = 90.00°, γ = 90.00°
With the nearest neighbours (Å) after each atom.
Atoms (fractional coordinates):
Al (0.0000, 0.0000, 0.0000)  8 Ni 2.46, 4 Al 2.65
Ni (0.5000, 0.5000, 0.7593)  4 Al 2.46, 4 V 2.54, 4 Ni 2.65
Ni (0.5000, 0.5000, 0.2407)  4 Al 2.46, 4 V 2.54, 4 Ni 2.65
V (0.0000, 0.0000, 0.5000)  8 Ni 2.54, 4 V 2.65

***

10.
Computed, not measured: a PBEsol-optimized structure of Ba3Sr5Tl5Cu3O19 at the meta-GGA SCAN level of DFT.

Results
- Formation energy from raw total energies: -63.694 eV per formula unit
- V: 518.82 Å³ per cell

a = 3.7119 Å, b = 9.2441 Å, c = 15.8104 Å
α = 106.99°, β = 90.00°, γ = 90.00°
With the nearest neighbours (Å) after each atom.
Atoms (fractional coordinates):
O (0.5000, 0.9975, 0.0044)  2 Cu 1.86
O (0.5000, 0.8690, 0.7397)  2 Cu 1.86
Sr (0.5000, 0.3942, 0.3705)  8 O 2.58-2.73
O (0.0000, 0.4165, 0.2614)  1 Tl 2.07
O (0.0000, 0.5879, 0.7363)  1 Tl 2.08
O (0.0000, 0.1476, 0.7368)  1 Tl 2.08
Ba (0.5000, 0.1469, 0.8742)  9 O 2.69-2.86
Ba (0.5000, 0.7254, 0.8732)  9 O 2.67-2.85
Tl (0.0000, 0.7361, 0.4736)  5 O 2.20-2.34
Ba (0.5000, 0.2713, 0.1284)  9 O 2.71-2.83
O (0.5000, 0.6983, 0.3931)  2 Tl 2.22
O (0.0000, 0.9980, 0.4981)  2 Tl 2.34-2.35
O (0.0000, 0.7291, 0.0088)  1 Tl 2.03
Tl (0.0000, 0.2617, 0.5248)  5 O 2.20-2.36
Sr (0.5000, 0.6042, 0.6274)  8 O 2.57-2.72
O (0.5000, 0.4325, 0.8637)  2 Tl 2.38
Sr (0.5000, 0.8598, 0.1277)  9 O 2.56-2.76
Sr (0.5000, 0.0222, 0.6278)  8 O 2.57-2.73
Cu (0.0000, 0.9904, 0.0006)  4 O 1.86-1.92
Tl (0.0000, 0.5093, 0.0075)  2 O 2.02-2.03
Tl (0.0000, 0.3821, 0.7653)  2 O 2.08
O (0.0000, 0.8093, 0.6191)  1 Cu 1.93
O (0.5000, 0.3014, 0.6034)  2 Tl 2.20
O (0.0000, 0.1896, 0.3796)  1 Cu 1.92
Sr (0.5000, 0.9757, 0.3712)  8 O 2.56-2.70
O (0.5000, 0.1259, 0.2580)  2 Cu 1.86
O (0.0000, 0.0504, 0.1278)  2 Cu 1.89-1.92
O (0.0000, 0.8556, 0.2561)  1 Tl 2.07
O (0.0000, 0.2882, 0.0028)  1 Tl 2.02
Tl (0.0000, 0.6232, 0.2347)  2 O 2.07
O (0.0000, 0.9352, 0.8735)  2 Cu 1.92
O (0.5000, 0.5783, 0.1327)  4 Tl 2.41-2.65, 1 Sr 2.63
O (0.0000, 0.4992, 0.4980)  2 Tl 2.33-2.36
Cu (0.0000, 0.1159, 0.2529)  4 O 1.86-1.92
Cu (0.0000, 0.8721, 0.7469)  4 O 1.86-1.93

***

11.
Computed, not measured: a PBEsol-optimized structure of Fe2CuNiIr at the meta-GGA SCAN level of DFT.

Results
- V: 71.52 Å³ per cell
- ΔE_f: 5.2 eV/f.u.

a = 4.1374 Å, b = 4.1374 Å, c = 4.1780 Å
α = 90.00°, β = 90.00°, γ = 90.00°
With the nearest neighbours (Å) after each atom.
Atoms (fractional coordinates):
Fe (0.5000, 0.0000, 0.0000)  2 Ni 2.07
Fe (0.0000, 0.5000, 0.0000)  2 Ni 2.07
Cu (0.0000, 0.0000, 0.5000)  2 Ni 2.09
Ni (0.0000, 0.0000, 0.0000)  4 Fe 2.07, 2 Cu 2.09
Ir (0.5000, 0.5000, 0.5000)  4 Cu 2.93, 8 Fe 2.94

***

12.
Computed, not measured: a PBEsol-optimized structure of MgTc at the meta-GGA SCAN level of DFT.

Results
- V: 66.23 Å³ per cell
- ΔE_f: -0.1 eV/f.u.
- Offset from the most stable computed form: 0.0000 eV per atom

a = 3.0258 Å, b = 3.0258 Å, c = 7.2340 Å
α = 90.00°, β = 90.00°, γ = 90.00°
With the nearest neighbours (Å) after each atom.
Atoms (fractional coordinates):
Tc (0.0000, 0.5000, 0.4069)  4 Tc 2.53, 4 Mg 2.81
Tc (0.5000, 0.0000, 0.5931)  4 Tc 2.53, 4 Mg 2.81
Mg (0.0000, 0.5000, 0.8448)  4 Tc 2.81, 8 Mg 3.03-3.10
Mg (0.5000, 0.0000, 0.1552)  4 Tc 2.81, 8 Mg 3.03-3.10

***

13.
Computed, not measured: a PBEsol-optimized structure of As2Pb at the meta-GGA SCAN level of DFT.

Results
- V: 142.57 Å³ per cell
- ΔE_f: 0.3 eV/f.u.
- Offset from the most stable computed form: 0.0567 eV per atom

a = 3.5712 Å, b = 6.0056 Å, c = 7.2747 Å
α = 77.28°, β = 75.79°, γ = 72.70°
With the nearest neighbours (Å) after each atom.
Atoms (fractional coordinates):
As (0.1013, 0.2806, 0.5168)  3 As 2.49-2.53
Pb (0.2032, 0.7373, 0.8564)  7 As 3.17-3.22
Pb (0.7968, 0.2627, 0.1436)  7 As 3.17-3.22
As (0.8987, 0.7194, 0.4832)  3 As 2.49-2.53
As (0.4919, 0.7895, 0.2267)  2 As 2.53
As (0.5081, 0.2105, 0.7733)  2 As 2.53

***

14.
Computed, not measured: a PBEsol-optimized structure of AlNiSe2 at the meta-GGA SCAN level of DFT.

Results
- Formation energy from raw total energies: -2.373 eV per formula unit
- V: 76.15 Å³ per cell

a = 3.7194 Å, b = 3.7194 Å, c = 6.3559 Å
α = 90.09°, β = 90.09°, γ = 60.00°
With the nearest neighbours (Å) after each atom.
Atoms (fractional coordinates):
Se (0.2089, 0.2089, 0.6274)  3 Ni 2.34
Se (0.8743, 0.8743, 0.0946)  1 Ni 2.45, 3 Al 2.51
Ni (0.8754, 0.8754, 0.4795)  4 Se 2.34-2.45, 3 Al 2.44
Al (0.5414, 0.5414, 0.2984)  3 Ni 2.44, 3 Se 2.51

***

15.
Computed, not measured: a PBEsol-optimized structure of MnPIr2 at the meta-GGA SCAN level of DFT.

Results
- V: 50.21 Å³ per cell
- ΔE_f: -0.3 eV/f.u.

a = 2.7102 Å, b = 2.7102 Å, c = 8.0473 Å
α = 80.31°, β = 80.31°, γ = 60.00°
With the nearest neighbours (Å) after each atom.
Atoms (fractional coordinates):
P (0.2447, 0.2447, 0.2660)  3 Mn 2.28, 3 Ir 2.45
Mn (0.5083, 0.5083, 0.4752)  3 P 2.28
Ir (0.7563, 0.7563, 0.7311)  3 Mn 2.56, 9 Ir 2.71-2.82
Ir (0.9907, 0.9907, 0.0278)  3 P 2.45, 6 Ir 2.71

***

16.
Computed, not measured: a PBEsol-optimized structure of EuGe3Pt at the meta-GGA SCAN level of DFT.

Results
- V: 98.05 Å³ per cell
- ΔE_f: -4.0 eV/f.u.

a = 4.4400 Å, b = 4.4400 Å, c = 5.8818 Å
α = 112.17°, β = 112.17°, γ = 90.00°
With the nearest neighbours (Å) after each atom.
Atoms (fractional coordinates):
Ge (0.2556, 0.7556, 0.5113)  2 Pt 2.48, 2 Ge 2.66
Pt (0.6454, 0.6454, 0.2909)  5 Ge 2.42-2.48
Eu (0.9954, 0.9954, 0.9907)  12 Ge 3.26-3.41, 5 Pt 3.48
Ge (0.7556, 0.2556, 0.5113)  2 Pt 2.48, 2 Ge 2.66
Ge (0.4021, 0.4021, 0.8042)  1 Pt 2.42, 4 Ge 2.66

***

17.
Computed, not measured: a PBEsol-optimized structure of LiTe at the meta-GGA SCAN level of DFT.

Results
- Formation energy from raw total energies: -1.302 eV per formula unit
- V: 90.97 Å³ per cell
- Offset from the most stable computed form: 0.0860 eV per atom

a = 4.0853 Å, b = 4.7188 Å, c = 4.7188 Å
α = 90.00°, β = 90.00°, γ = 90.00°
With the nearest neighbours (Å) after each atom.
Atoms (fractional coordinates):
Te (0.0000, 0.0000, 0.0000)  8 Li 3.12, 4 Te 3.34
Te (0.0000, 0.5000, 0.5000)  8 Li 3.12, 4 Te 3.34
Li (0.5001, 0.5000, 0.0000)  8 Te 3.12, 4 Li 3.34
Li (0.4999, 0.0000, 0.5000)  8 Te 3.12, 4 Li 3.34

***

18.
Computed, not measured: a PBEsol-optimized structure of Sc3Rh2 at the meta-GGA SCAN level of DFT.

Results
- V: 94.72 Å³ per cell
- ΔE_f: -4.5 eV/f.u.

a = 4.4569 Å, b = 4.4569 Å, c = 5.5060 Å
α = 90.00°, β = 90.00°, γ = 120.00°
With the nearest neighbours (Å) after each atom.
Atoms (fractional coordinates):
Rh (0.3333, 0.6667, 0.8392)  8 Sc 2.72-2.76
Rh (0.6667, 0.3333, 0.1608)  8 Sc 2.72-2.76
Sc (0.0000, 0.0000, 0.0000)  6 Rh 2.72
Sc (0.3333, 0.6667, 0.3397)  5 Rh 2.75-2.76
Sc (0.6667, 0.3333, 0.6603)  5 Rh 2.75-2.76

***

19.
Computed, not measured: a PBEsol-optimized structure of MgZnP2S at the meta-GGA SCAN level of DFT.

Results
- Formation energy from raw total energies: 2.891 eV per formula unit
- V: 98.35 Å³ per cell

a = 4.5323 Å, b = 4.5323 Å, c = 4.7877 Å
α = 90.00°, β = 90.00°, γ = 90.00°
With the nearest neighbours (Å) after each atom.
Atoms (fractional coordinates):
Mg (0.5000, 0.5000, 0.5000)  4 S 3.20, 8 P 3.30
P (0.0000, 0.5000, 0.0000)  2 Zn 2.27
P (0.5000, 0.0000, 0.0000)  2 Zn 2.27
Zn (0.0000, 0.0000, 0.0000)  4 P 2.27, 2 S 2.39
S (0.0000, 0.0000, 0.5000)  2 Zn 2.39

***

20.
Computed, not measured: a PBEsol-optimized structure of SrRhN2 at the meta-GGA SCAN level of DFT.

Results
- Formation energy from raw total energies: 2.608 eV per formula unit
- V: 48.00 Å³ per cell
- Offset from the most stable computed form: 0.7502 eV per atom

a = 4.0792 Å, b = 4.0792 Å, c = 4.0792 Å
α = 60.00°, β = 60.00°, γ = 60.00°
With the nearest neighbours (Å) after each atom.
Atoms (fractional coordinates):
N (0.2500, 0.2500, 0.2500)  4 Sr 2.50, 4 Rh 2.50
Sr (0.0000, 0.0000, 0.0000)  8 N 2.50
Rh (0.5000, 0.5000, 0.5000)  8 N 2.50
N (0.7500, 0.7500, 0.7500)  4 Rh 2.50, 4 Sr 2.50